DFT (PBE+U) results for a relaxed InFeC2F crystal.

Geometry as CIF:
```
data_InFeC2F
_cell_length_a 4.322
_cell_length_b 4.322
_cell_length_c 4.284
_cell_angle_alpha 90.00
_cell_angle_beta 90.00
_cell_angle_gamma 90.00
_space_group_name_H-M_alt 'P 4/m m m'
_space_group_IT_number 123
_space_group_name_Hall '-P 4 2'
loop_
_atom_site_label
_atom_site_type_symbol
_atom_site_fract_x
_atom_site_fract_y
_atom_site_fract_z
In1 In 0.000 0.000 0.000
Fe1 Fe 0.500 0.500 0.500
C1 C 0.000 0.500 0.000
F1 F 0.000 0.000 0.500
```

Summary:
Total DFT energy (no corrections) = -3.75 eV per atom